# YSiAg

A relaxed structure of YSiAg (GGA-PBE, Alexandria).

a b c (Å): 5.815 4.361 5.815
angles (deg): 67.85 81.77 67.85
Sites, in units of the cell vectors:
Si1 0.634 0.557 0.779
Si2 0.493 0.199 0.637
Ag1 0.166 0.525 0.311
Ag2 0.960 0.232 0.105
Y1 0.563 0.878 0.208
Y2 0.063 0.878 0.708

- Crystal system: monoclinic
- Symmetry: C2/m (12)
- Energy relative to the elements, uncorrected: -0.434 eV/atom

# YSi2Ag4

A relaxed structure of YSi2Ag4 (GGA-PBE, Alexandria).

a b c (Å): 4.109 4.150 7.860
angles (deg): 105.31 90.00 90.00
Sites, in units of the cell vectors:
Ag1 0.000 0.321 0.642
Ag2 0.000 0.679 0.358
Ag3 0.500 0.823 0.646
Ag4 0.500 0.177 0.354
Si1 0.500 0.575 0.151
Si2 0.500 0.425 0.849
Y1 0.000 0.000 0.000

- Crystal system: orthorhombic
- Symmetry: Cmmm (65)
- Energy relative to the elements, uncorrected: -0.254 eV/atom

# Y3Si4Ag2

A relaxed structure of Y3Si4Ag2 (GGA-PBE, Alexandria).

a b c (Å): 4.266 5.773 8.243
angles (deg): 103.29 90.00 111.68
Sites, in units of the cell vectors:
Si1 0.058 0.115 0.395
Si2 0.942 0.885 0.605
Si3 0.722 0.444 0.048
Si4 0.278 0.556 0.952
Ag1 0.619 0.239 0.284
Ag2 0.381 0.761 0.716
Y1 0.000 0.000 0.000
Y2 0.341 0.681 0.325
Y3 0.659 0.319 0.675

- Crystal system: monoclinic
- Symmetry: C2/m (12)
- Energy relative to the elements, uncorrected: -0.598 eV/atom